Compound: Pm4SmDy2Tm2
Source: the Alexandria database
Functional: PBE
Structure: optimized geometry

Properties
DFT formation energy, meV per atom: 19
Space-group type: C2/m

Unit cell a=5.0630 b=8.0275 c=8.0182 alpha=107.41 beta=90.00 gamma=108.38
Last column: nearest neighbours and their distance in Å.
Positions (direct):
Sm  0.0000  0.0000  0.0000  6 Pm 3.57-3.59, 2 Dy 3.58, 4 Tm 3.60
Pm  0.7772  0.5544  0.6685  3 Tm 3.55-3.58, 3 Dy 3.57-3.61, 1 Sm 3.59, 5 Pm 3.60-3.61
Dy  0.8885  0.7771  0.3318  3 Tm 3.57, 7 Pm 3.57-3.61, 1 Sm 3.58, 1 Dy 3.61
Tm  0.3319  0.6639  0.0005  5 Pm 3.55-3.60, 2 Tm 3.55, 3 Dy 3.57, 2 Sm 3.60
Pm  0.5544  0.1088  0.3313  2 Sm 3.57, 4 Dy 3.58-3.60, 2 Tm 3.59-3.60, 4 Pm 3.59-3.61
Dy  0.1115  0.2229  0.6682  3 Tm 3.57, 7 Pm 3.57-3.61, 1 Sm 3.58, 1 Dy 3.61
Pm  0.4456  0.8912  0.6687  2 Sm 3.57, 4 Dy 3.58-3.60, 2 Tm 3.59-3.60, 4 Pm 3.59-3.61
Pm  0.2228  0.4456  0.3315  3 Tm 3.55-3.58, 3 Dy 3.57-3.61, 1 Sm 3.59, 5 Pm 3.60-3.61
Tm  0.6681  0.3361  0.9995  5 Pm 3.55-3.60, 2 Tm 3.55, 3 Dy 3.57, 2 Sm 3.60

Compound: PmSmDy2Tm
Source: the Alexandria database
Functional: PBE
Structure: optimized geometry

Properties
DFT formation energy, meV per atom: 361
Space-group type: Cmcm

Unit cell a=6.3943 b=6.4000 c=8.9129 alpha=111.04 beta=90.00 gamma=90.00
Last column: nearest neighbours and their distance in Å.
Positions (direct):
Pm  0.7500  0.1579  0.3158  1 Sm 3.07
Tm  0.7500  0.7498  0.4997  4 Pm 3.55, 4 Sm 3.55
Sm  0.2500  0.6575  0.3150  1 Pm 3.07
Dy  0.0000  0.7499  0.0000  4 Dy 3.20, 2 Sm 3.46, 2 Pm 3.47
Sm  0.7500  0.3425  0.6850  1 Pm 3.07
Dy  0.5000  0.2501  0.0000  4 Dy 3.20, 2 Sm 3.46, 2 Pm 3.47
Dy  0.0000  0.2501  0.0000  4 Dy 3.20, 2 Sm 3.46, 2 Pm 3.47
Tm  0.2500  0.2502  0.5003  4 Pm 3.55, 4 Sm 3.55
Pm  0.2500  0.8421  0.6842  1 Sm 3.07
Dy  0.5000  0.7499  0.0000  4 Dy 3.20, 2 Sm 3.46, 2 Pm 3.47

Compound: PmSmDyTm2
Source: the Alexandria database
Functional: PBE
Structure: optimized geometry

Properties
DFT formation energy, meV per atom: 351
Space-group type: Cmcm

Unit cell a=6.3733 b=6.3837 c=8.8711 alpha=111.09 beta=90.00 gamma=90.00
Last column: nearest neighbours and their distance in Å.
Positions (direct):
Dy  0.7500  0.7342  0.4684  4 Sm 3.43-3.67, 4 Pm 3.44-3.66
Sm  0.2500  0.6569  0.3138  1 Pm 3.08, 4 Tm 3.43, 2 Dy 3.43
Tm  0.5000  0.7476  0.0000  4 Tm 3.16-3.22, 2 Sm 3.43, 2 Pm 3.45
Dy  0.2500  0.2658  0.5316  4 Sm 3.43-3.67, 4 Pm 3.44-3.66
Sm  0.7500  0.3431  0.6862  1 Pm 3.08, 4 Tm 3.43, 2 Dy 3.43
Tm  0.5000  0.2524  0.0000  4 Tm 3.16-3.22, 2 Sm 3.43, 2 Pm 3.45
Pm  0.7500  0.1571  0.3141  1 Sm 3.08, 2 Dy 3.44, 4 Tm 3.45
Tm  0.0000  0.2524  0.0000  4 Tm 3.16-3.22, 2 Sm 3.43, 2 Pm 3.45
Pm  0.2500  0.8429  0.6859  1 Sm 3.08, 2 Dy 3.44, 4 Tm 3.45
Tm  0.0000  0.7476  0.0000  4 Tm 3.16-3.22, 2 Sm 3.43, 2 Pm 3.45

Compound: PmSm3DyTm
Source: the Alexandria database
Functional: PBE
Structure: optimized geometry

Properties
DFT formation energy, meV per atom: 18
Space-group type: Cmcm

Unit cell a=5.0663 b=8.0364 c=10.1848 alpha=90.00 beta=90.00 gamma=108.37
Last column: nearest neighbours and their distance in Å.
Positions (direct):
Dy  0.0000  0.0000  0.0000  6 Sm 3.58-3.61, 4 Pm 3.59, 2 Tm 3.60
Sm  0.1676  0.3352  0.7500  2 Tm 3.58, 6 Sm 3.59, 2 Dy 3.61, 2 Pm 3.61
Sm  0.3339  0.6679  0.9999  2 Pm 3.58-3.60, 2 Dy 3.58, 3 Tm 3.59-3.60, 5 Sm 3.59-3.60
Sm  0.6661  0.3321  0.0001  2 Pm 3.58-3.60, 2 Dy 3.58, 3 Tm 3.59-3.60, 5 Sm 3.59-3.60
Pm  0.4989  0.9977  0.7500  2 Tm 3.58, 6 Sm 3.58-3.61, 4 Dy 3.59
Sm  0.6661  0.3321  0.4999  2 Pm 3.58-3.60, 2 Dy 3.58, 3 Tm 3.59-3.60, 5 Sm 3.59-3.60
Tm  0.8332  0.6664  0.7500  8 Sm 3.58-3.60, 2 Pm 3.58, 2 Dy 3.60
Dy  0.0000  0.0000  0.5000  6 Sm 3.58-3.61, 4 Pm 3.59, 2 Tm 3.60
Tm  0.1668  0.3336  0.2500  8 Sm 3.58-3.60, 2 Pm 3.58, 2 Dy 3.60
Sm  0.3339  0.6679  0.5001  2 Pm 3.58-3.60, 2 Dy 3.58, 3 Tm 3.59-3.60, 5 Sm 3.59-3.60
Pm  0.5011  0.0023  0.2500  2 Tm 3.58, 6 Sm 3.58-3.61, 4 Dy 3.59
Sm  0.8324  0.6648  0.2500  2 Tm 3.58, 6 Sm 3.59, 2 Dy 3.61, 2 Pm 3.61

Compound: PmSm6Dy3Tm2
Source: the Alexandria database
Functional: PBE
Structure: optimized geometry

Properties
DFT formation energy, meV per atom: 15
Space-group type: C2/m

Unit cell a=6.2136 b=6.2136 c=11.8415 alpha=95.00 beta=95.00 gamma=119.98
Last column: nearest neighbours and their distance in Å.
Positions (direct):
Sm  0.7496  0.7496  0.2500  3 Dy 3.57-3.58, 2 Tm 3.58, 1 Pm 3.58, 6 Sm 3.58-3.60
Sm  0.5820  0.9162  0.7498  3 Dy 3.57-3.58, 2 Tm 3.57-3.58, 1 Pm 3.58, 6 Sm 3.58-3.60
Sm  0.0838  0.4180  0.2502  3 Dy 3.57-3.58, 2 Tm 3.57-3.58, 1 Pm 3.58, 6 Sm 3.58-3.60
Sm  0.9162  0.5820  0.7498  3 Dy 3.57-3.58, 2 Tm 3.57-3.58, 1 Pm 3.58, 6 Sm 3.58-3.60
Tm  0.6666  0.3334  0.0000  6 Sm 3.57-3.58, 3 Tm 3.59, 3 Pm 3.59
Pm  0.0000  0.0000  0.0000  6 Sm 3.58, 6 Tm 3.59
Tm  0.3334  0.6666  0.0000  6 Sm 3.57-3.58, 3 Tm 3.59, 3 Pm 3.59
Dy  0.5000  0.5000  0.5000  6 Sm 3.57-3.58, 6 Dy 3.58-3.59
Sm  0.2504  0.2504  0.7500  3 Dy 3.57-3.58, 2 Tm 3.58, 1 Pm 3.58, 6 Sm 3.58-3.60
Dy  0.8331  0.1669  0.5000  6 Sm 3.57-3.58, 6 Dy 3.58-3.59
Sm  0.4180  0.0838  0.2502  3 Dy 3.57-3.58, 2 Tm 3.57-3.58, 1 Pm 3.58, 6 Sm 3.58-3.60
Dy  0.1669  0.8331  0.5000  6 Sm 3.57-3.58, 6 Dy 3.58-3.59

Compound: Pm4SmDy2Tm
Source: the Alexandria database
Functional: PBE
Structure: optimized geometry

Properties
DFT formation energy, meV per atom: 17
Space-group type: P2/m

Unit cell a=3.6084 b=6.2344 c=11.8923 alpha=79.77 beta=90.00 gamma=90.00
Last column: nearest neighbours and their distance in Å.
Positions (direct):
Pm  0.0000  0.7500  0.7478  3 Dy 3.57-3.62, 1 Tm 3.57, 6 Pm 3.60-3.61, 2 Sm 3.61
Dy  0.5000  0.0000  0.5000  6 Pm 3.57, 4 Tm 3.60, 2 Dy 3.61
Pm  0.5000  0.7502  0.2520  2 Tm 3.57, 3 Dy 3.57-3.61, 6 Pm 3.60-3.61, 1 Sm 3.62
Dy  0.0000  0.0000  0.0000  4 Sm 3.60, 6 Pm 3.61-3.62, 2 Dy 3.61
Pm  0.0000  0.2500  0.2522  3 Dy 3.57-3.62, 1 Tm 3.57, 6 Pm 3.60-3.61, 2 Sm 3.61
Sm  0.5000  0.5000  0.0000  4 Dy 3.60, 6 Pm 3.61-3.62, 2 Sm 3.61
Pm  0.5000  0.2498  0.7480  2 Tm 3.57, 3 Dy 3.57-3.61, 6 Pm 3.60-3.61, 1 Sm 3.62
Tm  0.0000  0.5000  0.5000  6 Pm 3.57, 4 Dy 3.60, 2 Tm 3.61

Compound: PmSm2DyTm2
Source: the Alexandria database
Functional: PBE
Structure: optimized geometry

Properties
DFT formation energy, meV per atom: 271
Space-group type: Pnnm

Unit cell a=3.3840 b=6.6437 c=17.5680 alpha=90.00 beta=90.00 gamma=90.00
Last column: nearest neighbours and their distance in Å.
Positions (direct):
Dy  0.5000  0.5000  0.0000  2 Dy 3.38, 4 Sm 3.52, 4 Pm 3.73
Tm  0.0000  0.2346  0.1777  4 Sm 3.32-3.43, 2 Tm 3.38, 1 Pm 3.49
Sm  0.5000  0.2303  0.3477  1 Pm 3.22, 4 Tm 3.32-3.43, 2 Sm 3.38, 2 Dy 3.52
Dy  0.0000  0.0000  0.5000  2 Dy 3.38, 4 Sm 3.52, 4 Pm 3.73
Tm  0.0000  0.7654  0.8223  4 Sm 3.32-3.43, 2 Tm 3.38, 1 Pm 3.49
Tm  0.5000  0.2654  0.6777  4 Sm 3.32-3.43, 2 Tm 3.38, 1 Pm 3.49
Sm  0.5000  0.7697  0.6523  1 Pm 3.22, 4 Tm 3.32-3.43, 2 Sm 3.38, 2 Dy 3.52
Pm  0.0000  0.0000  0.0000  2 Sm 3.22, 2 Pm 3.38, 2 Tm 3.49
Pm  0.5000  0.5000  0.5000  2 Sm 3.22, 2 Pm 3.38, 2 Tm 3.49
Sm  0.0000  0.2697  0.8477  1 Pm 3.22, 4 Tm 3.32-3.43, 2 Sm 3.38, 2 Dy 3.52
Tm  0.5000  0.7346  0.3223  4 Sm 3.32-3.43, 2 Tm 3.38, 1 Pm 3.49
Sm  0.0000  0.7303  0.1523  1 Pm 3.22, 4 Tm 3.32-3.43, 2 Sm 3.38, 2 Dy 3.52

Compound: PmSm2Dy5Tm
Source: the Alexandria database
Functional: PBE
Structure: optimized geometry

Properties
DFT formation energy, meV per atom: 280
Space-group type: I4/mcm

Unit cell a=8.7359 b=8.7359 c=9.8501 alpha=116.32 beta=116.32 gamma=90.00
Last column: nearest neighbours and their distance in Å.
Positions (direct):
Dy  0.5721  0.6535  0.7256  1 Sm 3.01, 1 Tm 3.11
Dy  0.9279  0.4279  0.2744  1 Sm 3.01, 1 Tm 3.11
Pm  0.7500  0.7500  0.5000  10 Dy 3.58-3.84
Dy  0.8465  0.9279  0.2744  1 Sm 3.01, 1 Tm 3.11
Dy  0.3465  0.8465  0.2744  1 Sm 3.01, 1 Tm 3.11
Tm  0.7500  0.2500  0.5000  4 Dy 3.11
Dy  0.5000  0.5000  0.0000  4 Sm 3.50, 8 Dy 3.77, 2 Pm 3.84
Pm  0.2500  0.2500  0.5000  10 Dy 3.58-3.84
Dy  0.4279  0.3465  0.2744  1 Sm 3.01, 1 Tm 3.11
Tm  0.2500  0.7500  0.5000  4 Dy 3.11
Sm  0.6161  0.1161  0.0000  1 Sm 2.87, 2 Dy 3.01
Sm  0.1161  0.3839  0.0000  1 Sm 2.87, 2 Dy 3.01
Sm  0.3839  0.8839  0.0000  1 Sm 2.87, 2 Dy 3.01
Dy  0.0000  0.0000  0.0000  4 Sm 3.50, 8 Dy 3.77, 2 Pm 3.84
Dy  0.6535  0.1535  0.7256  1 Sm 3.01, 1 Tm 3.11
Dy  0.0721  0.5721  0.7256  1 Sm 3.01, 1 Tm 3.11
Dy  0.1535  0.0721  0.7256  1 Sm 3.01, 1 Tm 3.11
Sm  0.8839  0.6161  0.0000  1 Sm 2.87, 2 Dy 3.01